1.
First-principles (GGA-PBE) data for a relaxed BeB3Au crystal, as listed in Alexandria via LeMat-Bulk.

The structure in CIF format:
```
data_BeB3Au
_cell_length_a 3.7758
_cell_length_b 3.7758
_cell_length_c 3.7758
_cell_angle_alpha 90.00
_cell_angle_beta 90.00
_cell_angle_gamma 90.00
_symmetry_space_group_name_H-M 'P m -3 m'
_symmetry_Int_Tables_number 221
_symmetry_space_group_name_Hall '-P 4 2 3'
loop_
_atom_site_label
_atom_site_type_symbol
_atom_site_fract_x
_atom_site_fract_y
_atom_site_fract_z
Be1 Be 0.0000 0.0000 0.0000
B1 B 0.0000 0.0000 0.5000
Au1 Au 0.5000 0.5000 0.5000
```

magnetization: 0.00 μB/atom
energy above the lowest structure with this stoichiometry: 0.0000 eV per atom
calculated formation energy: 1.59 eV per atom

=====

2.
First-principles (GGA-PBE) data for a relaxed BeBAu2 crystal, as listed in Alexandria via LeMat-Bulk.

The structure in CIF format:
```
data_BeBAu2
_cell_length_a 5.0646
_cell_length_b 5.0646
_cell_length_c 10.4329
_cell_angle_alpha 90.00
_cell_angle_beta 90.00
_cell_angle_gamma 90.00
_symmetry_space_group_name_H-M 'I -4 2 d'
_symmetry_Int_Tables_number 122
_symmetry_space_group_name_Hall 'I -4 2bw'
loop_
_atom_site_label
_atom_site_type_symbol
_atom_site_fract_x
_atom_site_fract_y
_atom_site_fract_z
Be1 Be 0.0000 0.0000 0.0000
B1 B 0.0000 0.0000 0.5000
Au1 Au 0.2207 0.2500 0.6250
```

magnetization: 0.00 μB/atom
energy above the lowest structure with this stoichiometry: 0.0000 eV per atom
calculated formation energy: 0.53 eV per atom

=====

3.
First-principles (GGA-PBE) data for a relaxed BeB2Au2 crystal, as listed in Alexandria via LeMat-Bulk.

The structure in CIF format:
```
data_BeB2Au2
_cell_length_a 6.5524
_cell_length_b 6.5524
_cell_length_c 3.2595
_cell_angle_alpha 90.00
_cell_angle_beta 90.00
_cell_angle_gamma 90.00
_symmetry_space_group_name_H-M 'P 4/m b m'
_symmetry_Int_Tables_number 127
_symmetry_space_group_name_Hall '-P 4 2ab'
loop_
_atom_site_label
_atom_site_type_symbol
_atom_site_fract_x
_atom_site_fract_y
_atom_site_fract_z
Be1 Be 0.0000 0.0000 0.0000
B1 B 0.0886 0.4114 0.5000
Au1 Au 0.2370 0.2630 0.0000
```

magnetization: 0.00 μB/atom
energy above the lowest structure with this stoichiometry: 0.0801 eV per atom
calculated formation energy: 0.65 eV per atom

=====

4.
First-principles (GGA-PBE) data for a relaxed BeBAu2 crystal, as listed in Alexandria via LeMat-Bulk.

The structure in CIF format:
```
data_BeBAu2
_cell_length_a 5.9044
_cell_length_b 5.9044
_cell_length_c 5.9044
_cell_angle_alpha 90.00
_cell_angle_beta 90.00
_cell_angle_gamma 90.00
_symmetry_space_group_name_H-M 'F m -3 m'
_symmetry_Int_Tables_number 225
_symmetry_space_group_name_Hall '-F 4 2 3'
loop_
_atom_site_label
_atom_site_type_symbol
_atom_site_fract_x
_atom_site_fract_y
_atom_site_fract_z
Be1 Be 0.0000 0.0000 0.0000
B1 B 0.0000 0.0000 0.5000
Au1 Au 0.2500 0.2500 0.2500
```

magnetization: 0.00 μB/atom
energy above the lowest structure with this stoichiometry: 0.0715 eV per atom
calculated formation energy: 0.60 eV per atom

=====

5.
First-principles (GGA-PBE) data for a relaxed BeBAu3 crystal, as listed in Alexandria via LeMat-Bulk.

The structure in CIF format:
```
data_BeBAu3
_cell_length_a 4.3309
_cell_length_b 4.3309
_cell_length_c 4.3309
_cell_angle_alpha 90.00
_cell_angle_beta 90.00
_cell_angle_gamma 90.00
_symmetry_space_group_name_H-M 'P m -3 m'
_symmetry_Int_Tables_number 221
_symmetry_space_group_name_Hall '-P 4 2 3'
loop_
_atom_site_label
_atom_site_type_symbol
_atom_site_fract_x
_atom_site_fract_y
_atom_site_fract_z
Be1 Be 0.0000 0.0000 0.0000
B1 B 0.5000 0.5000 0.5000
Au1 Au 0.0000 0.5000 0.5000
```

magnetization: 0.00 μB/atom
energy above the lowest structure with this stoichiometry: 0.0000 eV per atom
calculated formation energy: 0.57 eV per atom

=====

6.
First-principles (GGA-PBE) data for a relaxed BeB2Au2 crystal, as listed in Alexandria via LeMat-Bulk.

The structure in CIF format:
```
data_BeB2Au2
_cell_length_a 2.8164
_cell_length_b 2.8164
_cell_length_c 14.6948
_cell_angle_alpha 90.00
_cell_angle_beta 90.00
_cell_angle_gamma 90.00
_symmetry_space_group_name_H-M 'I 4/m m m'
_symmetry_Int_Tables_number 139
_symmetry_space_group_name_Hall '-I 4 2'
loop_
_atom_site_label
_atom_site_type_symbol
_atom_site_fract_x
_atom_site_fract_y
_atom_site_fract_z
Be1 Be 0.0000 0.0000 0.0000
B1 B 0.0000 0.5000 0.2500
Au1 Au 0.0000 0.0000 0.3905
```

magnetization: 0.00 μB/atom
energy above the lowest structure with this stoichiometry: 0.0000 eV per atom
calculated formation energy: 0.57 eV per atom

=====

7.
First-principles (GGA-PBE) data for a relaxed Be2BAu2 crystal, as listed in Alexandria via LeMat-Bulk.

The structure in CIF format:
```
data_Be2BAu2
_cell_length_a 6.1361
_cell_length_b 6.1361
_cell_length_c 3.4229
_cell_angle_alpha 90.00
_cell_angle_beta 90.00
_cell_angle_gamma 90.00
_symmetry_space_group_name_H-M 'P 4/m b m'
_symmetry_Int_Tables_number 127
_symmetry_space_group_name_Hall '-P 4 2ab'
loop_
_atom_site_label
_atom_site_type_symbol
_atom_site_fract_x
_atom_site_fract_y
_atom_site_fract_z
Be1 Be 0.1294 0.3706 0.0000
B1 B 0.0000 0.0000 0.5000
Au1 Au 0.1785 0.6785 0.5000
```

magnetization: 0.00 μB/atom
calculated formation energy: 0.43 eV per atom

=====

8.
First-principles (GGA-PBE) data for a relaxed Be2BAu crystal, as listed in Alexandria via LeMat-Bulk.

The structure in CIF format:
```
data_Be2BAu
_cell_length_a 3.8139
_cell_length_b 3.8139
_cell_length_c 12.8017
_cell_angle_alpha 90.00
_cell_angle_beta 90.00
_cell_angle_gamma 90.00
_symmetry_space_group_name_H-M 'I -4 2 d'
_symmetry_Int_Tables_number 122
_symmetry_space_group_name_Hall 'I -4 2bw'
loop_
_atom_site_label
_atom_site_type_symbol
_atom_site_fract_x
_atom_site_fract_y
_atom_site_fract_z
Be1 Be 0.1039 0.2500 0.1250
B1 B 0.0000 0.0000 0.0000
Au1 Au 0.0000 0.0000 0.5000
```

magnetization: 0.00 μB/atom
calculated formation energy: 0.44 eV per atom